## P
A plane-wave DFT calculation with PBE was carried out for crystalline LaEr2Lu at its relaxed geometry.

Spin magnetization = 0.00 μB/f.u.

Lattice parameters (Å, degrees): 3.5614 3.5614 34.6821 90.00 90.00 120.00
Space group R-3m (No. 166, hexagonal axes)
One atom of each set of equivalent atoms:
1 La 0.0000 0.0000 0.0000 (multiplicity 3)
2 Er 0.0000 0.0000 0.2474 (multiplicity 6)
3 Lu 0.0000 0.0000 0.5000 (multiplicity 3)

=====

## Q
A plane-wave DFT calculation with PBE was carried out for crystalline LaEr2Lu at its relaxed geometry.

Spin magnetization = 0.00 μB/f.u.

Lattice parameters (Å, degrees): 5.011 5.011 5.092 90.00 90.00 90.00
Space group P4/mmm (No. 123)
One atom of each set of equivalent atoms:
1 La 0.000 0.000 0.000 (multiplicity 1)
2 Er 0.000 0.500 0.500 (multiplicity 2)
3 Lu 0.500 0.500 0.000 (multiplicity 1)

=====

## R
A plane-wave DFT calculation with PBE was carried out for crystalline LaEr2Lu at its relaxed geometry.

Spin magnetization = 0.00 μB/f.u.

Lattice parameters (Å, degrees): 3.969 3.969 8.292 90.00 90.00 90.00
Space group P4/mmm (No. 123)
One atom of each set of equivalent atoms:
1 La 0.000 0.000 0.000 (multiplicity 1)
2 Er 0.500 0.500 0.275 (multiplicity 2)
3 Lu 0.000 0.000 0.500 (multiplicity 1)

=====

Stability summary - winner: P; margin: 10 meV/atom.

=====

## P
A plane-wave DFT calculation with PBE was carried out for crystalline LaErLu2 at its relaxed geometry.

Spin magnetization = 0.02 μB/f.u.

Lattice parameters (Å, degrees): 5.057 5.057 4.958 90.00 90.00 90.00
Space group P4/mmm (No. 123)
One atom of each set of equivalent atoms:
1 La 0.000 0.000 0.000 (multiplicity 1)
2 Er 0.500 0.500 0.000 (multiplicity 1)
3 Lu 0.000 0.500 0.500 (multiplicity 2)

=====

## Q
A plane-wave DFT calculation with PBE was carried out for crystalline LaErLu2 at its relaxed geometry.

Spin magnetization = 0.00 μB/f.u.

Lattice parameters (Å, degrees): 3.5516 3.5516 34.3947 90.00 90.00 120.00
Space group R-3m (No. 166, hexagonal axes)
One atom of each set of equivalent atoms:
1 La 0.0000 0.0000 0.0000 (multiplicity 3)
2 Er 0.0000 0.0000 0.5000 (multiplicity 3)
3 Lu 0.0000 0.0000 0.2479 (multiplicity 6)

=====

## R
A plane-wave DFT calculation with PBE was carried out for crystalline LaErLu2 at its relaxed geometry.

Spin magnetization = 0.01 μB/f.u.

Lattice parameters (Å, degrees): 4.034 4.034 7.879 90.00 90.00 90.00
Space group P4/mmm (No. 123)
One atom of each set of equivalent atoms:
1 La 0.000 0.000 0.000 (multiplicity 1)
2 Er 0.000 0.000 0.500 (multiplicity 1)
3 Lu 0.500 0.500 0.265 (multiplicity 2)

=====

Stability summary - winner: Q; margin: 11 meV/atom.

=====

## P
A plane-wave DFT calculation with PBE was carried out for crystalline LaErMg2 at its relaxed geometry.

Spin magnetization = 0.00 μB/f.u.

Lattice parameters (Å, degrees): 3.4446 3.4446 34.1464 90.00 90.00 120.00
Space group R3m (No. 160, hexagonal axes)
One atom of each set of equivalent atoms:
1 La 0.0000 0.0000 0.0000 (multiplicity 3)
2 Er 0.0000 0.0000 0.1687 (multiplicity 3)
3 Mg 0.0000 0.0000 0.4213 (multiplicity 3)
4 Mg 0.0000 0.0000 0.5811 (multiplicity 3)

=====

## Q
A plane-wave DFT calculation with PBE was carried out for crystalline LaErMg2 at its relaxed geometry.

Spin magnetization = 0.00 μB/f.u.

Lattice parameters (Å, degrees): 5.427 5.427 3.904 90.00 90.00 90.00
Space group P4/mmm (No. 123)
One atom of each set of equivalent atoms:
1 La 0.000 0.000 0.000 (multiplicity 1)
2 Er 0.500 0.500 0.000 (multiplicity 1)
3 Mg 0.000 0.500 0.500 (multiplicity 2)

=====

Stability summary - winner: Q; margin: 130 meV/atom.

=====

## P
A plane-wave DFT calculation with PBE was carried out for crystalline LaPmErMg at its relaxed geometry.

Spin magnetization = 0.00 μB/f.u.

Lattice parameters (Å, degrees): 7.955 7.955 7.955 90.00 90.00 90.00
Space group F-43m (No. 216)
One atom of each set of equivalent atoms:
1 La 0.000 0.000 0.000 (multiplicity 4)
2 Pm 0.000 0.000 0.500 (multiplicity 4)
3 Er 0.250 0.250 0.750 (multiplicity 4)
4 Mg 0.250 0.250 0.250 (multiplicity 4)

=====

## Q
A plane-wave DFT calculation with PBE was carried out for crystalline LaPmErMg at its relaxed geometry.

Spin magnetization = 0.00 μB/f.u.

Lattice parameters (Å, degrees): 3.724 3.724 9.034 90.00 90.00 90.00
Space group P4mm (No. 99)
One atom of each set of equivalent atoms:
1 La 0.000 0.000 0.000 (multiplicity 1)
2 Pm 0.500 0.500 0.715 (multiplicity 1)
3 Er 0.500 0.500 0.273 (multiplicity 1)
4 Mg 0.000 0.000 0.486 (multiplicity 1)

=====

Stability summary - winner: Q; margin: 32 meV/atom.

=====

## P
A plane-wave DFT calculation with PBE was carried out for crystalline LaTbErMg at its relaxed geometry.

Spin magnetization = 0.00 μB/f.u.

Lattice parameters (Å, degrees): 7.905 7.905 7.905 90.00 90.00 90.00
Space group F-43m (No. 216)
One atom of each set of equivalent atoms:
1 La 0.000 0.000 0.000 (multiplicity 4)
2 Tb 0.000 0.000 0.500 (multiplicity 4)
3 Er 0.250 0.250 0.250 (multiplicity 4)
4 Mg 0.250 0.250 0.750 (multiplicity 4)

=====

## Q
A plane-wave DFT calculation with PBE was carried out for crystalline LaTbErMg at its relaxed geometry.

Spin magnetization = 0.00 μB/f.u.

Lattice parameters (Å, degrees): 3.703 3.703 8.965 90.00 90.00 90.00
Space group P4mm (No. 99)
One atom of each set of equivalent atoms:
1 La 0.000 0.000 0.000 (multiplicity 1)
2 Tb 0.500 0.500 0.716 (multiplicity 1)
3 Er 0.500 0.500 0.279 (multiplicity 1)
4 Mg 0.000 0.000 0.494 (multiplicity 1)

=====

Stability summary - winner: Q; margin: 39 meV/atom.

=====

## P
A plane-wave DFT calculation with PBE was carried out for crystalline LaErTmMg at its relaxed geometry.

Spin magnetization = 0.00 μB/f.u.

Lattice parameters (Å, degrees): 3.706 3.706 8.811 90.00 90.00 90.00
Space group P4mm (No. 99)
One atom of each set of equivalent atoms:
1 La 0.000 0.000 0.000 (multiplicity 1)
2 Er 0.500 0.500 0.716 (multiplicity 1)
3 Tm 0.500 0.500 0.282 (multiplicity 1)
4 Mg 0.000 0.000 0.498 (multiplicity 1)

=====

## Q
A plane-wave DFT calculation with PBE was carried out for crystalline LaErTmMg at its relaxed geometry.

Spin magnetization = 0.00 μB/f.u.

Lattice parameters (Å, degrees): 7.863 7.863 7.863 90.00 90.00 90.00
Space group F-43m (No. 216)
One atom of each set of equivalent atoms:
1 La 0.000 0.000 0.000 (multiplicity 4)
2 Er 0.000 0.000 0.500 (multiplicity 4)
3 Tm 0.250 0.250 0.750 (multiplicity 4)
4 Mg 0.250 0.250 0.250 (multiplicity 4)

=====

Stability summary - winner: P; margin: 36 meV/atom.

=====

## P
A plane-wave DFT calculation with PBE was carried out for crystalline LaEr2N at its relaxed geometry.

Spin magnetization = 0.00 μB/f.u.

Lattice parameters (Å, degrees): 3.149 3.149 9.033 90.00 90.00 90.00
Space group P4/mmm (No. 123)
One atom of each set of equivalent atoms:
1 La 0.000 0.000 0.000 (multiplicity 1)
2 Er 0.500 0.500 0.345 (multiplicity 2)
3 N 0.000 0.000 0.500 (multiplicity 1)

=====

## Q
A plane-wave DFT calculation with PBE was carried out for crystalline LaEr2N at its relaxed geometry.

Spin magnetization = 0.00 μB/f.u.

Lattice parameters (Å, degrees): 3.4138 3.4138 28.9885 90.00 90.00 120.00
Space group R-3m (No. 166, hexagonal axes)
One atom of each set of equivalent atoms:
1 La 0.0000 0.0000 0.0000 (multiplicity 3)
2 Er 0.0000 0.0000 0.1209 (multiplicity 6)
3 N 0.0000 0.0000 0.5000 (multiplicity 3)

=====

Stability summary - winner: Q; margin: 557 meV/atom.

=====

## P
A plane-wave DFT calculation with PBE was carried out for crystalline NaLa2Er at its relaxed geometry.

Spin magnetization = 0.00 μB/f.u.

Lattice parameters (Å, degrees): 6.050 6.050 3.791 90.00 90.00 90.00
Space group P4/mmm (No. 123)
One atom of each set of equivalent atoms:
1 Na 0.000 0.000 0.000 (multiplicity 1)
2 La 0.000 0.500 0.500 (multiplicity 2)
3 Er 0.500 0.500 0.000 (multiplicity 1)

=====

## Q
A plane-wave DFT calculation with PBE was carried out for crystalline NaLa2Er at its relaxed geometry.

Spin magnetization = 0.00 μB/f.u.

Lattice parameters (Å, degrees): 3.5932 3.5932 39.1397 90.00 90.00 120.00
Space group R-3m (No. 166, hexagonal axes)
One atom of each set of equivalent atoms:
1 Na 0.0000 0.0000 0.0000 (multiplicity 3)
2 La 0.0000 0.0000 0.0927 (multiplicity 6)
3 Er 0.0000 0.0000 0.5000 (multiplicity 3)

=====

## R
A plane-wave DFT calculation with PBE was carried out for crystalline NaLa2Er at its relaxed geometry.

Spin magnetization = 0.00 μB/f.u.

Lattice parameters (Å, degrees): 3.570 3.570 11.179 90.00 90.00 90.00
Space group P4/mmm (No. 123)
One atom of each set of equivalent atoms:
1 Na 0.000 0.000 0.000 (multiplicity 1)
2 La 0.500 0.500 0.270 (multiplicity 2)
3 Er 0.000 0.000 0.500 (multiplicity 1)

=====

Stability summary - winner: R; margin: 21 meV/atom.

=====

## P
A plane-wave DFT calculation with PBE was carried out for crystalline NaLaEr at its relaxed geometry.

Spin magnetization = 0.23 μB/f.u.

Lattice parameters (Å, degrees): 3.579 3.579 16.416 90.00 90.00 90.00
Space group I4mm (No. 107)
One atom of each set of equivalent atoms:
1 Na 0.000 0.000 0.000 (multiplicity 2)
2 La 0.000 0.000 0.681 (multiplicity 2)
3 Er 0.000 0.000 0.331 (multiplicity 2)

=====

## Q
A plane-wave DFT calculation with PBE was carried out for crystalline NaLaEr at its relaxed geometry.

Spin magnetization = 0.00 μB/f.u.

Lattice parameters (Å, degrees): 5.6852 5.6852 7.3095 90.00 90.00 120.00
Space group P-3m1 (No. 164)
One atom of each set of equivalent atoms:
1 Na 0.3333 0.6667 0.0005 (multiplicity 2)
2 La 0.0000 0.0000 0.2679 (multiplicity 2)
3 Er 0.3333 0.6667 0.5002 (multiplicity 2)

=====

## R
A plane-wave DFT calculation with PBE was carried out for crystalline NaLaEr at its relaxed geometry.

Spin magnetization = 0.00 μB/f.u.

Lattice parameters (Å, degrees): 4.172 4.172 12.280 90.00 90.00 90.00
Space group P4/nmm (No. 129, origin choice 2)
One atom of each set of equivalent atoms:
1 Na 0.250 0.750 0.000 (multiplicity 2)
2 La 0.250 0.250 0.263 (multiplicity 2)
3 Er 0.250 0.250 0.567 (multiplicity 2)

=====

Stability summary - winner: P; margin: 7 meV/atom.

=====

## P
A plane-wave DFT calculation with PBE was carried out for crystalline La3Nd8Er2 at its relaxed geometry.

Spin magnetization = 0.00 μB/f.u.

Lattice parameters (Å, degrees): 7.782 20.666 5.833 90.00 90.00 90.00
Space group Cmmm (No. 65)
One atom of each set of equivalent atoms:
1 La 0.000 0.000 0.000 (multiplicity 2)
2 La 0.208 0.500 0.500 (multiplicity 4)
3 Nd 0.000 0.136 0.500 (multiplicity 4)
4 Nd 0.000 0.323 0.500 (multiplicity 4)
5 Nd 0.209 0.391 0.000 (multiplicity 8)
6 Er 0.000 0.241 0.000 (multiplicity 4)

=====

## Q
A plane-wave DFT calculation with PBE was carried out for crystalline La3Nd8Er2 at its relaxed geometry.

Spin magnetization = 0.00 μB/f.u.

Lattice parameters (Å, degrees): 13.428 11.919 6.252 90.00 112.85 90.00
Space group C2/m (No. 12)
One atom of each set of equivalent atoms:
1 La 0.000 0.000 0.000 (multiplicity 2)
2 La 0.000 0.238 0.500 (multiplicity 4)
3 Nd 0.058 0.500 0.290 (multiplicity 4)
4 Nd 0.159 0.000 0.546 (multiplicity 4)
5 Nd 0.176 0.256 0.177 (multiplicity 8)
6 Er 0.210 0.500 0.864 (multiplicity 4)

=====

Stability summary - winner: Q; margin: 72 meV/atom.

=====

## P
A plane-wave DFT calculation with PBE was carried out for crystalline La12Nd5Er2 at its relaxed geometry.

Spin magnetization = 0.00 μB/f.u.

Lattice parameters (Å, degrees): 19.532 7.624 10.253 90.00 115.67 90.00
Space group C2/m (No. 12)
One atom of each set of equivalent atoms:
1 La 0.006 0.000 0.215 (multiplicity 4)
2 La 0.010 0.500 0.332 (multiplicity 4)
3 La 0.159 0.250 0.848 (multiplicity 8)
4 La 0.168 0.235 0.500 (multiplicity 8)
5 Nd 0.000 0.000 0.500 (multiplicity 2)
6 Nd 0.173 0.000 0.164 (multiplicity 4)
7 Nd 0.175 0.500 0.196 (multiplicity 4)
8 Er 0.000 0.299 0.000 (multiplicity 4)

=====

## Q
A plane-wave DFT calculation with PBE was carried out for crystalline La12Nd5Er2 at its relaxed geometry.

Spin magnetization = 0.00 μB/f.u.

Lattice parameters (Å, degrees): 6.361 10.949 10.955 66.37 79.49 79.44
Space group P-1 (No. 2)
One atom of each set of equivalent atoms:
1 La 0.004 0.383 0.384 (multiplicity 2)
2 La 0.199 0.048 0.563 (multiplicity 2)
3 La 0.199 0.562 0.048 (multiplicity 2)
4 La 0.270 0.946 0.946 (multiplicity 2)
5 La 0.378 0.350 0.857 (multiplicity 2)
6 La 0.379 0.857 0.351 (multiplicity 2)
7 Nd 0.146 0.179 0.179 (multiplicity 2)
8 Nd 0.440 0.714 0.715 (multiplicity 2)
9 Nd 0.500 0.500 0.500 (multiplicity 1)
10 Er 0.001 0.733 0.266 (multiplicity 2)

=====

Stability summary - winner: Q; margin: 65 meV/atom.